The following is a PBE+U calculation of crystalline PuNiAg2O6 at its relaxed geometry, from Alexandria.

Calculated values
As for the magnetic moment: 0.35 μB per formula unit. The value obtained for the total energy is -63.6 eV/cell. As for the density of states at the Fermi level: 7.0 states/eV/cell.

a b c (Å): 5.179 5.655 6.037
angles (deg): 117.84 115.08 90.01
Space group P-1 (No. 2)
Asymmetric unit:
Pu 0.000 0.000 0.000
Ni 0.500 0.500 0.000
Ag 0.313 0.738 0.478
O 0.021 0.179 0.360
O 0.336 0.809 0.145
O 0.339 0.335 0.147